# 1
Compound: Pr3HoEr3S8
Source: Alexandria
Functional: GGA-PBE
Structure: relaxed

It has space group R-3m (No. 166, hexagonal axes), with a = 7.8788 Å, b = 7.8788 Å, c = 19.8164 Å, α = 90.00°, β = 90.00° and γ = 120.00°. Symmetry generates all atoms from Pr at (0.0000, 0.5000, 0.0000), Ho at (0.0000, 0.0000, 0.5000), Er at (0.0000, 0.5000, 0.5000), S at (0.0000, 0.0000, 0.2427) and S at (0.0039, 0.5020, 0.7561).

The total magnetic moment is 0.02 μB/cell. The value obtained for the density of states at the Fermi level is 0.46 states/eV/atom. For the formation energy from raw total energies, the calculation gives -2041 meV per atom.

***

# 2
Compound: Pr2HoErSb4
Source: Alexandria
Functional: GGA-PBE
Structure: relaxed

It has space group P2/m (No. 10), with a = 7.7157 Å, b = 4.4652 Å, c = 7.7291 Å, α = 90.00°, β = 109.51° and γ = 90.00°. Symmetry generates all atoms from Pr at (0.0000, 0.0000, 0.0000), Pr at (0.0000, 0.5000, 0.5000), Ho at (0.5000, 0.0000, 0.5000), Er at (0.5000, 0.5000, 0.0000), Sb at (0.2629, 0.0000, 0.7547) and Sb at (0.2626, 0.5000, 0.2537).

The total magnetic moment is 0.00 μB/cell. The value obtained for the density of states at the Fermi level is 0.13 states/eV/atom. For the formation energy from raw total energies, the calculation gives -1142 meV per atom.

***

# 3
Compound: Pr2Ho3ErSb6
Source: Alexandria
Functional: GGA-PBE
Structure: relaxed

It has space group C2/m (No. 12), with a = 19.3017 Å, b = 4.4323 Å, c = 8.8577 Å, α = 90.00°, β = 103.23° and γ = 90.00°. Symmetry generates all atoms from Pr at (0.1655, 0.0000, 0.3321), Ho at (0.0000, 0.5000, 0.5000), Ho at (0.1684, 0.0000, 0.8342), Er at (0.0000, 0.5000, 0.0000), Sb at (0.0038, 0.0000, 0.7529), Sb at (0.1642, 0.5000, 0.5902) and Sb at (0.1656, 0.5000, 0.0742).

The total magnetic moment is 0.00 μB/cell. The value obtained for the density of states at the Fermi level is 0.16 states/eV/atom. For the formation energy from raw total energies, the calculation gives -1128 meV per atom.

***

# 4
Compound: Pr2HoErSc
Source: Alexandria
Functional: GGA-PBE
Structure: relaxed

It has space group Cmcm (No. 63), with a = 8.2353 Å, b = 11.3636 Å, c = 7.2294 Å, α = 90.00°, β = 90.00° and γ = 90.00°. Symmetry generates all atoms from Pr at (0.1997, 0.0000, 0.0000), Ho at (0.0000, 0.2320, 0.2500), Er at (0.0000, 0.2365, 0.7500) and Sc at (0.0000, 0.4965, 0.2500).

The calculation puts the formation energy from the elements at 1.923 eV/f.u. The total magnetic moment is 0.00 μB/cell. The value obtained for the density of states at the Fermi level is 1.45 states/eV/atom.

***

# 5
Compound: PrHo5Er2Sc
Source: Alexandria
Functional: GGA-PBE
Structure: relaxed

It has space group Cmc2_1 (No. 36), with a = 5.5484 Å, b = 19.6654 Å, c = 10.3356 Å, α = 90.00°, β = 90.00° and γ = 90.00°. Symmetry generates all atoms from Pr at (0.0000, 0.0867, 0.0000), Ho at (0.0000, 0.0198, 0.2866), Ho at (0.0000, 0.1231, 0.5690), Ho at (0.0000, 0.2020, 0.2545), Ho at (0.0000, 0.2234, 0.8700), Ho at (0.0000, 0.4817, 0.5687), Er at (0.0000, 0.3861, 0.2830), Er at (0.0000, 0.3885, 0.8628) and Sc at (0.0000, 0.3038, 0.5626).

The calculation puts the formation energy from the elements at 1.597 eV/f.u. The total magnetic moment is 0.01 μB/cell. The value obtained for the density of states at the Fermi level is 1.65 states/eV/atom.

***

# 6
Compound: Pr2Ho4ErSc
Source: Alexandria
Functional: GGA-PBE
Structure: relaxed

It has space group C2/c (No. 15), with a = 13.5414 Å, b = 13.0972 Å, c = 6.7534 Å, α = 90.00°, β = 119.91° and γ = 90.00°. Symmetry generates all atoms from Pr at (0.0000, 0.0000, 0.0000), Pr at (0.2500, 0.2500, 0.0000), Ho at (0.9995, 0.2645, 0.0007), Ho at (0.2334, 0.4978, 0.4832), Er at (0.2500, 0.2500, 0.5000) and Sc at (0.0000, 0.5000, 0.0000).

The calculation puts the formation energy from the elements at 3.361 eV/f.u. The total magnetic moment is 7.43 μB/cell. The value obtained for the density of states at the Fermi level is 2.22 states/eV/atom.

***

# 7
Compound: PrHoEr3Sc
Source: Alexandria
Functional: GGA-PBE
Structure: relaxed

It has space group Cmcm (No. 63), with a = 4.9547 Å, b = 14.8432 Å, c = 9.9458 Å, α = 90.00°, β = 90.00° and γ = 90.00°. Symmetry generates all atoms from Pr at (0.0000, 0.0024, 0.2500), Ho at (0.0000, 0.5000, 0.0000), Er at (0.0000, 0.1684, 0.0000), Er at (0.0000, 0.3299, 0.2500) and Sc at (0.0000, 0.3312, 0.7500).

The calculation puts the formation energy from the elements at 0.252 eV/f.u. The total magnetic moment is 0.00 μB/cell. The value obtained for the density of states at the Fermi level is 1.49 states/eV/atom.

***

# 8
Compound: PrHoEr2Sc4
Source: Alexandria
Functional: GGA-PBE
Structure: relaxed

It has space group C2/c (No. 15), with a = 13.0282 Å, b = 12.6650 Å, c = 6.5320 Å, α = 90.00°, β = 120.09° and γ = 90.00°. Symmetry generates all atoms from Pr at (0.0000, 0.0000, 0.0000), Ho at (0.2500, 0.2500, 0.0000), Er at (0.0000, 0.5000, 0.0000), Er at (0.2500, 0.2500, 0.5000), Sc at (0.0000, 0.2531, 0.0002) and Sc at (0.2467, 0.4996, 0.4952).

The calculation puts the formation energy from the elements at 3.459 eV/f.u. The total magnetic moment is 12.61 μB/cell. The value obtained for the density of states at the Fermi level is 2.23 states/eV/atom.

***

# 9
Compound: Pr6HoEr2Sc
Source: Alexandria
Functional: GGA-PBE
Structure: relaxed

It has space group C2/c (No. 15), with a = 9.3222 Å, b = 15.3198 Å, c = 9.4952 Å, α = 90.00°, β = 97.07° and γ = 90.00°. Symmetry generates all atoms from Pr at (0.0577, 0.1747, 0.4485), Pr at (0.0962, 0.3897, 0.6132), Pr at (0.2257, 0.2160, 0.8052), Ho at (0.0000, 0.0271, 0.7500), Er at (0.2492, 0.4531, 0.9510) and Sc at (0.0000, 0.4201, 0.2500).

The calculation puts the formation energy from the elements at 1.274 eV/f.u. The total magnetic moment is 0.00 μB/cell. The value obtained for the density of states at the Fermi level is 1.49 states/eV/atom.

***

# 10
Compound: Pr2Ho6Er3Sc
Source: Alexandria
Functional: GGA-PBE
Structure: relaxed

It has space group C2/m (No. 12), with a = 6.1082 Å, b = 10.5752 Å, c = 11.7188 Å, α = 90.00°, β = 99.97° and γ = 90.00°. Symmetry generates all atoms from Pr at (0.0000, 0.1665, 0.0000), Ho at (0.2463, 0.5000, 0.7474), Ho at (0.2489, 0.3350, 0.2522), Er at (0.0000, 0.0000, 0.5000), Er at (0.0000, 0.3338, 0.5000) and Sc at (0.0000, 0.5000, 0.0000).

The calculation puts the formation energy from the elements at 0.339 eV/f.u. The total magnetic moment is 0.01 μB/cell. The value obtained for the density of states at the Fermi level is 1.32 states/eV/atom.

***

# 11
Compound: PrHo3Er6Sc2
Source: Alexandria
Functional: GGA-PBE
Structure: relaxed

It has space group C2/m (No. 12), with a = 6.0363 Å, b = 10.4469 Å, c = 11.5770 Å, α = 90.00°, β = 99.95° and γ = 90.00°. Symmetry generates all atoms from Pr at (0.0000, 0.0000, 0.0000), Ho at (0.0000, 0.1673, 0.5000), Ho at (0.0000, 0.5000, 0.5000), Er at (0.2467, 0.5000, 0.2474), Er at (0.2489, 0.3320, 0.7524) and Sc at (0.0000, 0.3333, 0.0000).

The calculation puts the formation energy from the elements at 0.456 eV/f.u. The total magnetic moment is 0.00 μB/cell. The value obtained for the density of states at the Fermi level is 1.39 states/eV/atom.

***

# 12
Compound: PrHo2ErSc
Source: Alexandria
Functional: GGA-PBE
Structure: relaxed

It has space group Pmmm (No. 47), with a = 3.5678 Å, b = 5.4225 Å, c = 8.3179 Å, α = 90.00°, β = 90.00° and γ = 90.00°. Symmetry generates all atoms from Pr at (0.0000, 0.0000, 0.0000), Ho at (0.0000, 0.5000, 0.3137), Er at (0.5000, 0.0000, 0.5000) and Sc at (0.5000, 0.5000, 0.0000).

The calculation puts the formation energy from the elements at 1.102 eV/f.u. The total magnetic moment is 0.00 μB/cell. The value obtained for the density of states at the Fermi level is 1.38 states/eV/atom.